1.
The following is a PBE+U calculation of RbCrN2O after structural relaxation, from Alexandria via LeMat-Bulk.

abc: 3.8226 3.8226 4.1120
angles: 90.00 90.00 90.00
Element x y z (fractional)
Rb (0.0000, 0.0000, 0.0000)
Cr (0.5000, 0.5000, 0.5000)
N (0.0000, 0.5000, 0.5000)
N (0.5000, 0.0000, 0.5000)
O (0.5000, 0.5000, 0.0000)

Electronic total energy ... -5.5455 eV/atom
Fermi-level density of states ... 3.41 states/eV/f.u.
Symmetry ... No. 123

2.
The following is a PBE+U calculation of CrReN2O after structural relaxation, from Alexandria via LeMat-Bulk.

abc: 3.9167 3.9167 3.8543
angles: 90.00 90.00 90.00
Element x y z (fractional)
Cr (0.0000, 0.0000, 0.0000)
Re (0.5000, 0.5000, 0.5000)
N (0.0000, 0.5000, 0.5000)
N (0.5000, 0.0000, 0.5000)
O (0.5000, 0.5000, 0.0000)

Electronic total energy ... -8.3340 eV/atom
Fermi-level density of states ... 2.09 states/eV/f.u.
Symmetry ... No. 123

Which value of electronic total energy does entry 1 give?
-5.5455 eV/atom

Which value of Fermi-level density of states does entry 2 give?
2.09 states/eV/f.u.